No. 1
Computed, not measured: a crystal of Mo2PdRuW relaxed with PBEsol at the meta-GGA SCAN level of DFT.

* crystal system: tetragonal
* DFT total energy: -39.45 eV/atom
* theoretical density: 9.8 g cm⁻³
* N(E_F): 4.51 states/eV/cell

Unit cell a=4.605 b=4.605 c=4.682 alpha=90.00 beta=90.00 gamma=90.00
Element x y z (fractional)
Mo  0.000  0.500  0.000
Mo  0.500  0.000  0.000
Pd  0.000  0.000  0.500
Ru  0.500  0.500  0.500
W  0.000  0.000  0.000



No. 2
Computed, not measured: a crystal of Sb2TeMoPd relaxed with PBEsol at the meta-GGA SCAN level of DFT.

* crystal system: tetragonal
* DFT total energy: -35.00 eV/atom
* theoretical density: 7.1 g cm⁻³
* N(E_F): 3.11 states/eV/cell

Unit cell a=5.043 b=5.043 c=5.245 alpha=90.00 beta=90.00 gamma=90.00
Element x y z (fractional)
Sb  0.000  0.500  0.000
Sb  0.500  0.000  0.000
Te  0.000  0.000  0.500
Mo  0.500  0.500  0.500
Pd  0.000  0.000  0.000



No. 3
Computed, not measured: a crystal of ScMo3Pd relaxed with PBEsol at the meta-GGA SCAN level of DFT.

* crystal system: cubic
* DFT total energy: -28.73 eV/atom
* theoretical density: 7.1 g cm⁻³
* N(E_F): 5.83 states/eV/cell

Unit cell a=4.691 b=4.691 c=4.691 alpha=90.00 beta=90.00 gamma=90.00
Element x y z (fractional)
Sc  0.000  0.000  0.000
Mo  0.000  0.500  0.500
Mo  0.500  0.000  0.500
Mo  0.500  0.500  0.000
Pd  0.500  0.500  0.500



No. 4
Computed, not measured: a crystal of Mo3PdSe relaxed with PBEsol at the meta-GGA SCAN level of DFT.

* crystal system: cubic
* DFT total energy: -29.43 eV/atom
* theoretical density: 7.7 g cm⁻³
* N(E_F): 4.67 states/eV/cell

Unit cell a=4.681 b=4.681 c=4.681 alpha=90.00 beta=90.00 gamma=90.00
Element x y z (fractional)
Mo  0.000  0.000  0.500
Mo  0.000  0.500  0.000
Mo  0.500  0.000  0.000
Pd  0.000  0.000  0.000
Se  0.500  0.500  0.500



No. 5
Computed, not measured: a crystal of MoPdSe2 relaxed with PBEsol at the meta-GGA SCAN level of DFT.

* crystal system: trigonal
* DFT total energy: -27.15 eV/atom
* theoretical density: 8.3 g cm⁻³
* N(E_F): 8.95 states/eV/cell

Unit cell a=3.166 b=3.166 c=24.803 alpha=90.00 beta=90.00 gamma=120.00
Element x y z (fractional)
Mo  0.000  0.000  0.000
Mo  0.333  0.667  0.667
Mo  0.667  0.333  0.333
Pd  0.000  0.000  0.500
Pd  0.333  0.667  0.167
Pd  0.667  0.333  0.833
Se  0.000  0.000  0.404
Se  0.000  0.000  0.596
Se  0.333  0.667  0.070
Se  0.333  0.667  0.263
Se  0.667  0.333  0.737
Se  0.667  0.333  0.930



No. 6
Computed, not measured: a crystal of YMoPd2Se relaxed with PBEsol at the meta-GGA SCAN level of DFT.

* crystal system: tetragonal
* DFT total energy: -28.89 eV/atom
* theoretical density: 6.4 g cm⁻³
* N(E_F): 1.57 states/eV/cell

Unit cell a=4.871 b=4.871 c=5.215 alpha=90.00 beta=90.00 gamma=90.00
Element x y z (fractional)
Y  0.000  0.000  0.000
Mo  0.500  0.500  0.500
Pd  0.000  0.500  0.000
Pd  0.500  0.000  0.000
Se  0.000  0.000  0.500



Question: Which value of DFT total energy does entry 4 give?
Answer: -29.43 eV/atom



Question: Which of these has the lowest N(E_F)?
Answer: YMoPd2Se



Question: Which formula does entry 3 have?
Answer: ScMo3Pd